Record 1
Here is a relaxed structure of Tb3Zn2Si3 from the Alexandria database. Energies are from PBE-GGA.

Computed properties:
Mass density: 7.01 g/cm3
Uncorrected energy: -75.2 eV for the cell shown
ΔE_f (raw): -4.87 eV/f.u.

a b c (Å): 4.1180 5.7347 14.8799
angles (deg): 90.00 90.00 111.04
Atoms (fractional coordinates):
Si 0.5796 0.1592 0.0534
Si 0.4204 0.8408 0.9466
Si 0.4204 0.8408 0.5534
Si 0.5796 0.1592 0.4466
Si 0.2928 0.5857 0.2500
Si 0.7072 0.4143 0.7500
Zn 0.1512 0.3024 0.3816
Zn 0.1512 0.3024 0.1184
Zn 0.8488 0.6976 0.8816
Zn 0.8488 0.6976 0.6184
Tb 0.1385 0.2770 0.9032
Tb 0.1385 0.2770 0.5968
Tb 0.8615 0.7230 0.0968
Tb 0.5678 0.1355 0.2500
Tb 0.4322 0.8645 0.7500
Tb 0.8615 0.7230 0.4032

Record 2
Here is a relaxed structure of Tb3Zn4Si2 from the Alexandria database. Energies are from PBE-GGA.

Computed properties:
Mass density: 7.36 g/cm3
Uncorrected energy: -34.8 eV for the cell shown
ΔE_f (raw): -4.96 eV/f.u.

a b c (Å): 4.2411 5.7245 8.3701
angles (deg): 106.86 90.00 111.74
Atoms (fractional coordinates):
Si 0.6089 0.2179 0.2747
Si 0.3911 0.7821 0.7253
Zn 0.7407 0.4813 0.0745
Zn 0.9737 0.9474 0.6370
Zn 0.0263 0.0526 0.3630
Zn 0.2593 0.5187 0.9255
Tb 0.3251 0.6502 0.3468
Tb 0.6749 0.3498 0.6532
Tb 0.0000 0.0000 0.0000